VASP calculation (PBE+U) on crystalline Pm2VTcO8 at its relaxed geometry.

Geometry as POSCAR:
```
Pm2VTcO8
1.0
3.316 -3.511 0.000
3.316 3.511 0.000
-0.067 0.000 6.746
Pm V Tc O
2 1 1 8
Direct
0.065 0.065 0.247
0.935 0.935 0.753
0.500 0.500 0.000
0.500 0.500 0.500
0.226 0.226 0.547
0.229 0.229 0.956
0.285 0.634 0.264
0.366 0.715 0.736
0.634 0.285 0.264
0.715 0.366 0.736
0.771 0.771 0.044
0.774 0.774 0.453
```

* space-group type: No. 12
* electronic total energy: -94.081 eV for the cell shown

VASP calculation (PBE+U) on crystalline PmVTcO6 at its relaxed geometry.

Geometry as POSCAR:
```
PmVTcO6
1.0
5.411 0.000 0.000
-2.706 4.686 0.000
0.000 0.000 8.635
Pm V Tc O
2 2 2 12
Direct
0.333 0.667 0.250
0.667 0.333 0.750
0.000 0.000 0.000
0.000 0.000 0.500
0.333 0.667 0.750
0.667 0.333 0.250
0.061 0.353 0.622
0.061 0.708 0.878
0.292 0.353 0.878
0.292 0.939 0.622
0.353 0.061 0.122
0.353 0.292 0.378
0.647 0.708 0.622
0.647 0.939 0.878
0.708 0.061 0.378
0.708 0.647 0.122
0.939 0.292 0.122
0.939 0.647 0.378
```

* space-group type: No. 163
* electronic total energy: -140.223 eV for the cell shown